This record from Alexandria describes an optimized crystal structure of YIrBr2. The functional is PBEsol.

Values from the calculation:
Mass density, Mg/m³: 8.22
Uncorrected energy, eV/atom: -4.930
N(E_F), states/eV/f.u.: 4.5

Lattice parameters (Å, degrees): 3.338 3.338 9.426 79.80 79.80 60.00
Atoms (fractional coordinates):
Ir: 0.500 0.500 0.500
Br: 0.260 0.260 0.220
Br: 0.740 0.740 0.780
Y: 0.000 0.000 0.000



This record from Alexandria describes an optimized crystal structure of YIrBr2. The functional is PBEsol.

Values from the calculation:
Mass density, Mg/m³: 8.85
Uncorrected energy, eV/atom: -5.175
N(E_F), states/eV/f.u.: 7.0

Lattice parameters (Å, degrees): 4.892 4.892 4.892 60.00 60.00 60.00
Atoms (fractional coordinates):
Br: 0.750 0.750 0.750
Br: 0.000 0.000 0.000
Y: 0.250 0.250 0.250
Ir: 0.500 0.500 0.500



This record from Alexandria describes an optimized crystal structure of YIr2Br. The functional is PBEsol.

Values from the calculation:
Mass density, Mg/m³: 12.68
Uncorrected energy, eV/atom: -6.828
N(E_F), states/eV/f.u.: 6.5

Lattice parameters (Å, degrees): 4.679 4.679 4.679 60.00 60.00 60.00
Atoms (fractional coordinates):
Ir: 0.750 0.750 0.750
Ir: 0.000 0.000 0.000
Br: 0.500 0.500 0.500
Y: 0.250 0.250 0.250



This record from Alexandria describes an optimized crystal structure of ZnIr2Br. The functional is PBEsol.

Values from the calculation:
Mass density, Mg/m³: 14.65
Uncorrected energy, eV/atom: -4.958
N(E_F), states/eV/f.u.: 3.7

Lattice parameters (Å, degrees): 4.102 4.598 4.102 63.50 90.00 116.50
Atoms (fractional coordinates):
Ir: 0.250 0.500 0.250
Ir: 0.750 0.500 0.750
Zn: 0.500 0.000 0.500
Br: 0.000 0.000 0.000



This record from Alexandria describes an optimized crystal structure of ZnIrBr2. The functional is PBEsol.

Values from the calculation:
Mass density, Mg/m³: 8.44
Uncorrected energy, eV/atom: -3.498
N(E_F), states/eV/f.u.: 4.2

Lattice parameters (Å, degrees): 3.375 3.375 7.210 90.00 90.00 90.00
Atoms (fractional coordinates):
Zn: 0.500 0.500 0.695
Br: 0.000 0.000 0.916
Br: 0.500 0.500 0.320
Ir: 0.000 0.000 0.569



This record from Alexandria describes an optimized crystal structure of ZnIr2Br. The functional is PBEsol.

Values from the calculation:
Mass density, Mg/m³: 13.55
Uncorrected energy, eV/atom: -5.325
N(E_F), states/eV/f.u.: 4.5

Lattice parameters (Å, degrees): 2.874 2.874 7.857 90.00 90.00 90.00
Atoms (fractional coordinates):
Zn: 0.000 0.000 0.456
Br: 0.500 0.500 0.774
Ir: 0.500 0.500 0.246
Ir: 0.000 0.000 0.023



This record from Alexandria describes an optimized crystal structure of ZnIrBr2. The functional is PBEsol.

Values from the calculation:
Mass density, Mg/m³: 7.85
Uncorrected energy, eV/atom: -3.247
N(E_F), states/eV/f.u.: 3.0

Lattice parameters (Å, degrees): 3.487 3.382 8.744 90.00 90.00 121.04
Atoms (fractional coordinates):
Zn: 0.500 0.000 0.000
Br: 0.000 0.000 0.300
Br: 0.000 0.000 0.700
Ir: 0.500 0.000 0.500



This record from Alexandria describes an optimized crystal structure of ZnIr2Br. The functional is PBEsol.

Values from the calculation:
Mass density, Mg/m³: 14.07
Uncorrected energy, eV/atom: -4.867
N(E_F), states/eV/f.u.: 5.5

Lattice parameters (Å, degrees): 4.455 4.455 4.455 60.00 60.00 60.00
Atoms (fractional coordinates):
Br: 0.500 0.500 0.500
Ir: 0.000 0.000 0.000
Ir: 0.250 0.250 0.250
Zn: 0.750 0.750 0.750



This record from Alexandria describes an optimized crystal structure of ZnIr2Br. The functional is PBEsol.

Values from the calculation:
Mass density, Mg/m³: 13.35
Uncorrected energy, eV/atom: -5.225
N(E_F), states/eV/f.u.: 3.2

Lattice parameters (Å, degrees): 2.744 2.819 9.750 90.00 90.00 119.12
Atoms (fractional coordinates):
Ir: 0.000 0.000 0.016
Ir: 0.500 0.000 0.243
Br: 0.500 0.000 0.774
Zn: 0.000 0.000 0.467



This record from Alexandria describes an optimized crystal structure of ZnIr2Br. The functional is PBEsol.

Values from the calculation:
Mass density, Mg/m³: 14.20
Uncorrected energy, eV/atom: -5.110
N(E_F), states/eV/f.u.: 3.2

Lattice parameters (Å, degrees): 2.866 4.512 5.485 114.29 105.15 90.00
Atoms (fractional coordinates):
Ir: 0.001 0.001 0.002
Ir: 0.739 0.239 0.478
Zn: 0.488 0.488 0.977
Br: 0.272 0.772 0.544



This record from Alexandria describes an optimized crystal structure of ZrIr2Br. The functional is PBEsol.

Values from the calculation:
Mass density, Mg/m³: 10.84
Uncorrected energy, eV/atom: -7.743
N(E_F), states/eV/f.u.: 3.8

Lattice parameters (Å, degrees): 3.384 3.384 7.434 90.00 90.00 90.00
Atoms (fractional coordinates):
Ir: 0.000 0.000 0.122
Ir: 0.500 0.500 0.231
Zr: 0.000 0.000 0.456
Br: 0.500 0.500 0.691



This record from Alexandria describes an optimized crystal structure of ZrIr2Br. The functional is PBEsol.

Values from the calculation:
Mass density, Mg/m³: 13.74
Uncorrected energy, eV/atom: -7.425
N(E_F), states/eV/f.u.: 4.2

Lattice parameters (Å, degrees): 4.563 4.563 4.563 60.00 60.00 60.00
Atoms (fractional coordinates):
Ir: 0.000 0.000 0.000
Ir: 0.250 0.250 0.250
Br: 0.500 0.500 0.500
Zr: 0.750 0.750 0.750